## a
{"formula": "BaRe3S", "functional": "PBE", "state": "relaxed", "lattice": [[5.1665, 0.0000, 0.0000], [0.0000, 5.1665, 0.0000], [0.0000, 0.0000, 5.1665]], "species": ["Ba", "Re", "Re", "Re", "S"], "frac_coords": [[0.0000, 0.0000, 0.0000], [0.0000, 0.0000, 0.5000], [0.0000, 0.5000, 0.0000], [0.5000, 0.0000, 0.0000], [0.5000, 0.5000, 0.5000]]}


## b
{"formula": "BaRe3S", "functional": "PBE", "state": "relaxed", "lattice": [[4.6079, 0.0000, 0.0000], [0.0000, 4.6079, 0.0000], [0.0000, 0.0000, 4.6079]], "species": ["Ba", "Re", "Re", "Re", "S"], "frac_coords": [[0.0000, 0.0000, 0.0000], [0.0000, 0.5000, 0.5000], [0.5000, 0.0000, 0.5000], [0.5000, 0.5000, 0.0000], [0.5000, 0.5000, 0.5000]]}


b takes first place; second place is 3030 meV/atom up.


## a
{"formula": "BaReSbTe2", "functional": "PBE", "state": "relaxed", "lattice": [[5.6340, 0.0000, 0.0000], [0.0000, 5.6340, 0.0000], [0.0000, 0.0000, 5.0996]], "species": ["Ba", "Re", "Sb", "Te", "Te"], "frac_coords": [[0.0000, 0.0000, 0.0000], [0.5000, 0.5000, 0.5000], [0.5000, 0.5000, 0.0000], [0.0000, 0.5000, 0.5000], [0.5000, 0.0000, 0.5000]]}


## b
{"formula": "BaReSbTe2", "functional": "PBE", "state": "relaxed", "lattice": [[6.1553, 0.0000, 0.0000], [0.0000, 6.1553, 0.0000], [0.0000, 0.0000, 6.0654]], "species": ["Ba", "Re", "Sb", "Te", "Te"], "frac_coords": [[0.0000, 0.0000, 0.0000], [0.5000, 0.5000, 0.5000], [0.0000, 0.0000, 0.5000], [0.0000, 0.5000, 0.0000], [0.5000, 0.0000, 0.0000]]}


a takes first place; second place is 2357 meV/atom up.